Entry 1:
# Nd4Dy3Er2 (PBE, relaxed)
data_Nd4Dy3Er2
_symmetry_space_group_name_H-M 'C c c m'
_symmetry_Int_Tables_number 66
_symmetry_space_group_name_Hall '-C 2 2c'
_cell_length_a 9.831
_cell_length_b 16.998
_cell_length_c 7.074
_cell_angle_alpha 90.00
_cell_angle_beta 90.00
_cell_angle_gamma 90.00
loop_
_atom_site_label
_atom_site_type_symbol
_atom_site_fract_x
_atom_site_fract_y
_atom_site_fract_z
Nd1 Nd 0.151 0.172 0.000
Nd2 Nd 0.165 0.486 0.000
Dy1 Dy 0.000 0.000 0.250
Dy2 Dy 0.000 0.329 0.250
Er1 Er 0.184 0.161 0.500
# Formation energy from the elements   0.05 eV per atom
# Crystal system   orthorhombic
# N(E_F)   1.351 states/eV per atom
# Total magnetic moment   0.000 Bohr magnetons per cell

---

Entry 2:
# Pr2YLu (PBE, relaxed)
data_Pr2YLu
_symmetry_space_group_name_H-M 'R -3 m'
_symmetry_Int_Tables_number 166
_symmetry_space_group_name_Hall '-R 3 2"'
_cell_length_a 3.5281
_cell_length_b 3.5281
_cell_length_c 37.6874
_cell_angle_alpha 90.00
_cell_angle_beta 90.00
_cell_angle_gamma 120.00
loop_
_atom_site_label
_atom_site_type_symbol
_atom_site_fract_x
_atom_site_fract_y
_atom_site_fract_z
Pr1 Pr 0.0000 0.0000 0.0893
Y1 Y 0.0000 0.0000 0.0000
Lu1 Lu 0.0000 0.0000 0.5000
# Formation energy from the elements   0.18 eV per atom
# Crystal system   trigonal
# N(E_F)   2.023 states/eV per atom
# Total magnetic moment   0.022 Bohr magnetons per cell

---

Entry 3:
# Nd2TeAsRh6 (PBE, relaxed)
data_Nd2TeAsRh6
_symmetry_space_group_name_H-M 'P m m n'
_symmetry_Int_Tables_number 59
_cell_length_a 5.534
_cell_length_b 8.637
_cell_length_c 8.403
_cell_angle_alpha 90.00
_cell_angle_beta 90.00
_cell_angle_gamma 90.00
loop_
_symmetry_equiv_pos_as_xyz
'x,y,z'
'-x,-y,-z'
'-x+1/2,-y+1/2,z'
'x+1/2,y+1/2,-z'
'x+1/2,-y,-z'
'-x+1/2,y,z'
'-x,y+1/2,-z'
'x,-y+1/2,z'
loop_
_atom_site_label
_atom_site_type_symbol
_atom_site_fract_x
_atom_site_fract_y
_atom_site_fract_z
Nd1 Nd 0.250 0.010 0.224
Te1 Te 0.250 0.250 0.763
As1 As 0.250 0.750 0.750
Rh1 Rh 0.005 0.250 0.487
Rh2 Rh 0.007 0.750 0.987
Rh3 Rh 0.250 0.501 0.593
# Crystal system   orthorhombic
# N(E_F)   0.754 states/eV per atom
# Raw total energy   -6.70 eV/atom
# Total magnetic moment   0.000 Bohr magnetons per cell

---

Entry 4:
# CrCo2SbC (PBE, relaxed)
data_CrCo2SbC
_symmetry_space_group_name_H-M 'P 4/m m m'
_symmetry_Int_Tables_number 123
_symmetry_space_group_name_Hall '-P 4 2'
_cell_length_a 3.861
_cell_length_b 3.861
_cell_length_c 3.945
_cell_angle_alpha 90.00
_cell_angle_beta 90.00
_cell_angle_gamma 90.00
loop_
_atom_site_label
_atom_site_type_symbol
_atom_site_fract_x
_atom_site_fract_y
_atom_site_fract_z
Cr1 Cr 0.000 0.000 0.000
Co1 Co 0.000 0.500 0.500
Sb1 Sb 0.500 0.500 0.000
C1 C 0.000 0.000 0.500
# Crystal system   tetragonal
# N(E_F)   0.423 states/eV per atom
# Raw total energy   -7.36 eV/atom
# Total magnetic moment   0.656 Bohr magnetons per cell

---

Entry 5:
# Ba2PW (PBE, relaxed)
data_Ba2PW
_symmetry_space_group_name_H-M 'P 4 m m'
_symmetry_Int_Tables_number 99
_cell_length_a 3.447
_cell_length_b 3.447
_cell_length_c 9.787
_cell_angle_alpha 90.00
_cell_angle_beta 90.00
_cell_angle_gamma 90.00
loop_
_symmetry_equiv_pos_as_xyz
'x,y,z'
'-y,x,z'
'-x,-y,z'
'y,-x,z'
'-x,y,z'
'y,x,z'
'x,-y,z'
'-y,-x,z'
loop_
_atom_site_label
_atom_site_type_symbol
_atom_site_fract_x
_atom_site_fract_y
_atom_site_fract_z
Ba1 Ba 0.000 0.000 0.000
Ba2 Ba 0.500 0.500 0.425
P1 P 0.000 0.000 0.663
W1 W 0.500 0.500 0.751
# Formation energy from the elements   0.20 eV per atom
# Crystal system   tetragonal
# N(E_F)   0.976 states/eV per atom
# Total magnetic moment   0.921 Bohr magnetons per cell

---

Entry 6:
# K2IrO4 (PBE, relaxed)
data_K2IrO4
_symmetry_space_group_name_H-M 'I 4/m m m'
_symmetry_Int_Tables_number 139
_symmetry_space_group_name_Hall '-I 4 2'
_cell_length_a 3.949
_cell_length_b 3.949
_cell_length_c 13.580
_cell_angle_alpha 90.00
_cell_angle_beta 90.00
_cell_angle_gamma 90.00
loop_
_atom_site_label
_atom_site_type_symbol
_atom_site_fract_x
_atom_site_fract_y
_atom_site_fract_z
K1 K 0.000 0.000 0.153
Ir1 Ir 0.000 0.000 0.500
O1 O 0.000 0.000 0.359
O2 O 0.000 0.500 0.000
# Crystal system   tetragonal
# N(E_F)   0.605 states/eV per atom
# Raw total energy   -5.47 eV/atom
# Total magnetic moment   3.917 Bohr magnetons per cell

---

Entry 7:
# YMn3Cu (PBE, relaxed)
data_YMn3Cu
_symmetry_space_group_name_H-M 'P m -3 m'
_symmetry_Int_Tables_number 221
_symmetry_space_group_name_Hall '-P 4 2 3'
_cell_length_a 4.626
_cell_length_b 4.626
_cell_length_c 4.626
_cell_angle_alpha 90.00
_cell_angle_beta 90.00
_cell_angle_gamma 90.00
loop_
_atom_site_label
_atom_site_type_symbol
_atom_site_fract_x
_atom_site_fract_y
_atom_site_fract_z
Y1 Y 0.000 0.000 0.000
Mn1 Mn 0.000 0.500 0.500
Cu1 Cu 0.500 0.500 0.500
# Formation energy from the elements   0.60 eV per atom
# Crystal system   cubic
# N(E_F)   0.700 states/eV per atom
# Total magnetic moment   11.311 Bohr magnetons per cell

---

Entry 8:
# AsRhCBr2 (PBE, relaxed)
data_AsRhCBr2
_symmetry_space_group_name_H-M 'P 4/m m m'
_symmetry_Int_Tables_number 123
_symmetry_space_group_name_Hall '-P 4 2'
_cell_length_a 5.207
_cell_length_b 5.207
_cell_length_c 4.632
_cell_angle_alpha 90.00
_cell_angle_beta 90.00
_cell_angle_gamma 90.00
loop_
_atom_site_label
_atom_site_type_symbol
_atom_site_fract_x
_atom_site_fract_y
_atom_site_fract_z
As1 As 0.000 0.000 0.000
Rh1 Rh 0.000 0.000 0.500
C1 C 0.500 0.500 0.000
Br1 Br 0.000 0.500 0.500
# Crystal system   tetragonal
# N(E_F)   0.914 states/eV per atom
# Raw total energy   -3.37 eV/atom
# Total magnetic moment   1.460 Bohr magnetons per cell

---

Entry 9:
# NdSiMo (PBE, relaxed)
data_NdSiMo
_symmetry_space_group_name_H-M 'P 4/n m m'
_symmetry_Int_Tables_number 129
_cell_length_a 3.958
_cell_length_b 3.958
_cell_length_c 8.000
_cell_angle_alpha 90.00
_cell_angle_beta 90.00
_cell_angle_gamma 90.00
loop_
_symmetry_equiv_pos_as_xyz
'x,y,z'
'-x,-y,-z'
'-y+1/2,x,z'
'y+1/2,-x,-z'
'-x+1/2,-y+1/2,z'
'x+1/2,y+1/2,-z'
'y,-x+1/2,z'
'-y,x+1/2,-z'
'x+1/2,-y,-z'
'-x+1/2,y,z'
'-y,-x,-z'
'y,x,z'
'-x,y+1/2,-z'
'x,-y+1/2,z'
'y+1/2,x+1/2,-z'
'-y+1/2,-x+1/2,z'
loop_
_atom_site_label
_atom_site_type_symbol
_atom_site_fract_x
_atom_site_fract_y
_atom_site_fract_z
Nd1 Nd 0.250 0.250 0.148
Si1 Si 0.250 0.250 0.716
Mo1 Mo 0.250 0.750 0.500
# Crystal system   tetragonal
# N(E_F)   0.811 states/eV per atom
# Raw total energy   -7.46 eV/atom
# Total magnetic moment   0.098 Bohr magnetons per cell

---

Entry 10:
# Li2CoSe (PBE, relaxed)
data_Li2CoSe
_symmetry_space_group_name_H-M 'A m m 2'
_symmetry_Int_Tables_number 38
_cell_length_a 4.184
_cell_length_b 3.933
_cell_length_c 8.549
_cell_angle_alpha 90.00
_cell_angle_beta 90.00
_cell_angle_gamma 90.00
loop_
_symmetry_equiv_pos_as_xyz
'x,y,z'
'-x,-y,z'
'-x,y,z'
'x,-y,z'
'x,y+1/2,z+1/2'
'-x,-y+1/2,z+1/2'
'-x,y+1/2,z+1/2'
'x,-y+1/2,z+1/2'
loop_
_atom_site_label
_atom_site_type_symbol
_atom_site_fract_x
_atom_site_fract_y
_atom_site_fract_z
Li1 Li 0.000 0.000 0.000
Li2 Li 0.500 0.000 0.301
Co1 Co 0.000 0.000 0.696
Se1 Se 0.500 0.000 0.607
# Crystal system   orthorhombic
# N(E_F)   0.741 states/eV per atom
# Raw total energy   -3.88 eV/atom
# Total magnetic moment   2.201 Bohr magnetons per cell

---

- The highest N(E_F) belongs to which entry?
  Pr2YLu

---

- Which value of total magnetic moment does entry 5 give?
  0.921 Bohr magnetons per cell

---

- The lowest N(E_F) belongs to which entry?
  CrCo2SbC

---

- What is the formula in the fourth record?
  CrCo2SbC